Here is crystalline TeOs2Ru at its relaxed geometry from Alexandria. Energies are from PBE.

Output
Crystal system: trigonal
Raw formation energy: 2.7 eV per formula unit

Cell: 8.8261 8.8261 8.8261 Å, 19.13 19.13 19.13°
Last column: nearest neighbours and their distance in Å.
Sites, in units of the cell vectors:
Ru (0.5010, 0.5010, 0.5010)  3 Os 2.74, 3 Te 2.74, 6 Ru 2.93
Os (0.9970, 0.9970, 0.9970)  9 Os 2.68-2.93, 3 Te 2.84
Os (0.2505, 0.2505, 0.2505)  9 Os 2.68-2.93, 3 Ru 2.74
Te (0.7515, 0.7515, 0.7515)  3 Ru 2.74, 3 Os 2.84, 6 Te 2.93